Record 1
Compound: RbMnNi2Hg
Source: the Alexandria database
Functional: GGA-PBE
Structure: optimized geometry

Output
The formation energy comes out at 1.356 eV per atom. The value obtained for the density is 5.16 g/cm3. The size of the total moment comes out at 5.76 Bohr magnetons per cell.

Cell and atoms, written as CIF:
```
data_RbMnNi2Hg
_chemical_formula_sum 'Rb1 Mn1 Ni2 Hg1'
_cell_length_a 4.977
_cell_length_b 4.977
_cell_length_c 5.950
_cell_angle_alpha 90.00
_cell_angle_beta 90.00
_cell_angle_gamma 90.00
_symmetry_space_group_name_H-M 'P 4/m m m'
_symmetry_Int_Tables_number 123
_symmetry_space_group_name_Hall '-P 4 2'
loop_
_atom_site_label
_atom_site_type_symbol
_atom_site_fract_x
_atom_site_fract_y
_atom_site_fract_z
Rb1 Rb 0.000 0.000 0.000
Mn1 Mn 0.500 0.500 0.000
Ni1 Ni 0.000 0.500 0.500
Hg1 Hg 0.000 0.000 0.500
```

---

Record 2
Compound: Mn2NiSnHg
Source: the Alexandria database
Functional: GGA-PBE
Structure: optimized geometry

Output
The formation energy comes out at 1.007 eV per atom. The value obtained for the density is 6.79 g/cm3. The size of the total moment comes out at 8.55 Bohr magnetons per cell.

Cell and atoms, written as CIF:
```
data_Mn2NiSnHg
_chemical_formula_sum 'Mn2 Ni1 Sn1 Hg1'
_cell_length_a 4.981
_cell_length_b 4.981
_cell_length_c 4.811
_cell_angle_alpha 90.00
_cell_angle_beta 90.00
_cell_angle_gamma 90.00
_symmetry_space_group_name_H-M 'P 4/m m m'
_symmetry_Int_Tables_number 123
_symmetry_space_group_name_Hall '-P 4 2'
loop_
_atom_site_label
_atom_site_type_symbol
_atom_site_fract_x
_atom_site_fract_y
_atom_site_fract_z
Mn1 Mn 0.000 0.500 0.000
Ni1 Ni 0.000 0.000 0.500
Sn1 Sn 0.500 0.500 0.500
Hg1 Hg 0.000 0.000 0.000
```